[1]
Compound: SiPb2W
Source: Alexandria
Functional: PBEsol
Structure: relaxed

Structure (POSCAR):
```
SiPb2W
1.0
3.2655 0.0000 0.0000
-1.6328 4.2334 0.0161
0.0000 -1.5482 6.7405
Pb Si W
2 1 1
Direct
0.9739 0.9478 0.9415
0.7722 0.5445 0.3020
0.5184 0.0369 0.6049
0.2354 0.4709 0.6516
```

[2]
Compound: Si4PbW
Source: Alexandria
Functional: PBEsol
Structure: relaxed

Structure (POSCAR):
```
Si4PbW
1.0
-1.1761 3.5439 -3.5184
-4.7857 1.8238 -0.3038
-1.0059 4.8178 1.4485
Pb W Si
1 1 4
Direct
0.0000 0.0000 0.0000
0.7500 0.7500 0.7500
0.3761 0.3761 0.8717
0.8717 0.3761 0.3761
0.3761 0.8717 0.3761
0.3761 0.3761 0.3761
```

[3]
Compound: YSiPb2
Source: Alexandria
Functional: PBEsol
Structure: relaxed

Structure (POSCAR):
```
YSiPb2
1.0
4.3375 0.0000 0.0000
0.0000 4.3375 0.0000
-2.1688 -2.1688 5.2397
Si Pb Y
1 2 1
Direct
0.5000 0.5000 0.0000
0.2500 0.7500 0.5000
0.7500 0.2500 0.5000
0.0000 0.0000 0.0000
```

[4]
Compound: YSi2Pb
Source: Alexandria
Functional: PBEsol
Structure: relaxed

Structure (POSCAR):
```
YSi2Pb
1.0
-1.7043 0.7882 -2.6411
-2.7096 0.0643 1.7762
1.2523 8.1247 1.6165
Pb Si Y
1 2 1
Direct
0.5000 0.5000 0.0000
0.0000 0.0000 0.7335
0.0000 0.0000 0.2665
0.5000 0.5000 0.5000
```

[5]
Compound: YSiPb2
Source: Alexandria
Functional: PBEsol
Structure: relaxed

Structure (POSCAR):
```
YSiPb2
1.0
3.6762 0.0000 0.0000
1.8381 3.1837 0.0000
1.8381 1.0612 8.7649
Y Si Pb
1 1 2
Direct
0.0000 0.0000 0.0000
0.5000 0.5000 0.5000
0.2386 0.2386 0.2842
0.7614 0.7614 0.7158
```

[6]
Compound: YSiPb2
Source: Alexandria
Functional: PBEsol
Structure: relaxed

Structure (POSCAR):
```
YSiPb2
1.0
-3.5634 -2.5862 0.8991
2.3790 -3.6565 -1.0889
1.4550 -0.4151 4.5727
Pb Y Si
2 1 1
Direct
0.5000 0.5000 0.0000
0.0000 0.0000 0.0000
0.0000 0.5000 0.5000
0.5000 0.0000 0.5000
```

[7]
Compound: YSiPb2
Source: Alexandria
Functional: PBEsol
Structure: relaxed

Structure (POSCAR):
```
YSiPb2
1.0
3.9706 0.0000 0.0000
0.0000 3.9706 0.0000
0.0000 0.0000 6.4930
Y Pb Si
1 2 1
Direct
0.5000 0.5000 0.7051
0.0000 0.0000 0.9928
0.5000 0.5000 0.2387
0.0000 0.0000 0.5634
```

[8]
Y2SiPb PBEsol relaxed; energy above the lowest structure with this stoichiometry = 0.016 eV per atom
1.0
-0.4074 3.1267 2.2820
-3.5560 1.2868 0.9214
-1.3557 -3.3269 7.6356
Y Pb Si
2 1 1
Direct
0.2637 0.2637 0.2088
0.7363 0.7363 0.7912
0.5000 0.5000 0.5000
0.0000 0.0000 0.0000

[9]
Y2SiPb PBEsol relaxed; energy above the lowest structure with this stoichiometry = 0.153 eV per atom
1.0
-5.0784 0.5596 -0.7489
-2.6730 -3.6885 -2.4319
-3.3367 -2.9324 2.6329
Pb Y Si
1 2 1
Direct
0.0000 0.0000 0.0000
0.2500 0.2500 0.2500
0.7500 0.7500 0.7500
0.5000 0.5000 0.5000

[10]
Y2SiPb PBEsol relaxed; energy above the lowest structure with this stoichiometry = 0.000 eV per atom
1.0
3.3381 0.0000 0.0000
0.0000 3.3381 0.0000
0.0000 0.0000 8.5013
Si Y Pb
1 2 1
Direct
0.5000 0.5000 0.5000
0.0000 0.0000 0.7158
0.0000 0.0000 0.2842
0.5000 0.5000 0.0000

[11]
Y2SiPb PBEsol relaxed; energy above the lowest structure with this stoichiometry = 0.022 eV per atom
1.0
4.1986 0.0000 0.0000
0.0000 4.3733 0.0000
-2.0993 -2.1867 5.2608
Si Y Pb
1 2 1
Direct
0.2442 0.7442 0.4883
0.9970 0.9970 0.9940
0.7508 0.2508 0.5016
0.5080 0.5080 0.0161

[12]
Compound: YSi2Pb
Source: Alexandria
Functional: PBEsol
Structure: relaxed

Structure (POSCAR):
```
YSi2Pb
1.0
-3.8285 -0.2716 -0.2798
-0.1699 -1.3230 3.6097
-0.5527 5.6751 2.0540
Pb Y Si
1 1 2
Direct
0.5000 0.5000 0.5000
0.5000 0.5000 0.0000
0.0000 0.0000 0.1972
0.0000 0.0000 0.8028
```

Number 1: total magnetic moment 0.0 μB/f.u., ΔE_f (raw) 0.53 eV per atom. Number 2: total magnetic moment 0.0 μB/f.u., ΔE_f (raw) 0.69 eV per atom. Number 3: total magnetic moment 0.0 μB/f.u., ΔE_f (raw) -0.18 eV per atom. Number 4: total magnetic moment 0.0 μB/f.u., ΔE_f (raw) 0.04 eV per atom. Number 5: total magnetic moment 0.0 μB/f.u., ΔE_f (raw) 0.09 eV per atom. Number 6: total magnetic moment 0.0 μB/f.u., ΔE_f (raw) -0.20 eV per atom. Number 7: total magnetic moment 0.0 μB/f.u., ΔE_f (raw) -0.16 eV per atom. Number 8: total magnetic moment 0.0 μB/f.u., ΔE_f (raw) -0.55 eV per atom. Number 9: total magnetic moment 0.0 μB/f.u., ΔE_f (raw) -0.41 eV per atom. Number 10: total magnetic moment 0.0 μB/f.u., ΔE_f (raw) -0.56 eV per atom. Number 11: total magnetic moment 0.0 μB/f.u., ΔE_f (raw) -0.54 eV per atom. Number 12: total magnetic moment 0.0 μB/f.u., ΔE_f (raw) -0.15 eV per atom.